Entry from Alexandria via LeMat-Bulk: a relaxed TlCrInF6 crystal (PBE with a Hubbard U).

VASP energy   -89.3 eV/cell
Density   4.77 g cm⁻³
D(E_F)   6.289 states/eV/f.u.
SG   P-31c

Lattice parameters (Å, degrees): 5.765 5.765 11.730 90.00 90.00 120.00
Positions (direct):
1 Tl 0.000 0.000 0.000
2 Tl 0.000 0.000 0.500
3 Cr 0.333 0.667 0.250
4 Cr 0.667 0.333 0.750
5 In 0.667 0.333 0.250
6 In 0.333 0.667 0.750
7 F 0.623 0.621 0.154
8 F 0.999 0.377 0.154
9 F 0.377 0.999 0.654
10 F 0.001 0.623 0.846
11 F 0.379 0.377 0.346
12 F 0.999 0.621 0.346
13 F 0.621 0.999 0.846
14 F 0.623 0.001 0.346
15 F 0.001 0.379 0.654
16 F 0.379 0.001 0.154
17 F 0.621 0.623 0.654
18 F 0.377 0.379 0.846